Entry from Alexandria via LeMat-Bulk: an optimized crystal structure of SrSN2 (PBE-GGA).

Results
Space group = R-3m

Structure (POSCAR):
```
SrSN2
1.0
1.5294 0.8830 7.0099
-1.5294 0.8830 7.0099
0.0000 -1.7660 7.0099
Sr S N
1 1 2
direct
0.0000 0.0000 0.0000 Sr
0.5000 0.5000 0.5000 S
0.1182 0.1182 0.1182 N
0.8818 0.8818 0.8818 N
```

=====

Entry from Alexandria via LeMat-Bulk: an optimized crystal structure of ErPuSi2 (PBE-GGA).

Results
Space group = P4/mmm

Structure (POSCAR):
```
ErPuSi2
1.0
3.2129 0.0000 0.0000
0.0000 3.2129 0.0000
0.0000 0.0000 7.9749
Er Pu Si
1 1 2
direct
0.0000 0.0000 0.0000 Er
0.0000 0.0000 0.5000 Pu
0.5000 0.5000 0.2490 Si
0.5000 0.5000 0.7510 Si
```

=====

Entry from Alexandria via LeMat-Bulk: an optimized crystal structure of DyHoMgOs (PBE-GGA).

Results
Space group = F-43m
Energy of formation from the pure elements = -3.5 kcal/mol of atoms

Structure (POSCAR):
```
DyHoMgOs
1.0
0.0000 3.5234 3.5234
3.5234 0.0000 3.5234
3.5234 3.5234 0.0000
Dy Ho Mg Os
1 1 1 1
direct
0.0000 0.0000 0.0000 Dy
0.5000 0.5000 0.5000 Ho
0.2500 0.2500 0.2500 Mg
0.7500 0.7500 0.7500 Os
```

=====

Entry from Alexandria via LeMat-Bulk: an optimized crystal structure of ErTc3Ge3 (PBE-GGA).

Results
Space group = P6_3/m
Energy of formation from the pure elements = -5.9 kcal/mol of atoms

Structure (POSCAR):
```
ErTc3Ge3
1.0
8.1262 0.0000 0.0000
-4.0631 7.0375 0.0000
0.0000 0.0000 4.4220
Er Tc Ge
2 6 6
direct
0.3333 0.6667 0.2500 Er
0.6667 0.3333 0.7500 Er
0.0531 0.2154 0.2500 Tc
0.1623 0.9469 0.2500 Tc
0.2154 0.1623 0.7500 Tc
0.7846 0.8377 0.2500 Tc
0.8377 0.0531 0.7500 Tc
0.9469 0.7846 0.7500 Tc
0.0892 0.4070 0.7500 Ge
0.3179 0.9108 0.7500 Ge
0.4070 0.3179 0.2500 Ge
0.5930 0.6821 0.7500 Ge
0.6821 0.0892 0.2500 Ge
0.9108 0.5930 0.2500 Ge
```

=====

Entry from Alexandria via LeMat-Bulk: an optimized crystal structure of NaSrPb2 (PBE-GGA).

Results
Space group = P4/mmm
Energy of formation from the pure elements = -7.3 kcal/mol of atoms

Structure (POSCAR):
```
NaSrPb2
1.0
4.0248 0.0000 0.0000
0.0000 4.0248 0.0000
0.0000 0.0000 7.7919
Na Sr Pb
1 1 2
direct
0.0000 0.0000 0.0000 Na
0.0000 0.0000 0.5000 Sr
0.5000 0.5000 0.2197 Pb
0.5000 0.5000 0.7803 Pb
```

=====

Entry from Alexandria via LeMat-Bulk: an optimized crystal structure of ZnInAg5 (PBE-GGA).

Results
Space group = Imm2
Energy of formation from the pure elements = 4.9 kcal/mol of atoms

Structure (POSCAR):
```
ZnInAg5
1.0
-2.7569 3.5429 3.8041
2.7569 -3.5429 3.8041
2.7569 3.5429 -3.8041
Zn In Ag
1 1 5
direct
0.0000 0.0000 0.0000 Zn
0.3783 0.8783 0.5000 In
0.0304 0.5304 0.5000 Ag
0.1390 0.3245 0.8145 Ag
0.5100 0.3245 0.1855 Ag
0.6878 0.4464 0.7586 Ag
0.6878 0.9291 0.2414 Ag
```

=====

Entry from Alexandria via LeMat-Bulk: an optimized crystal structure of MoIrOs2 (PBE-GGA).

Results
Space group = Cmmm
Energy of formation from the pure elements = 0.4 kcal/mol of atoms

Structure (POSCAR):
```
MoIrOs2
1.0
2.7581 -3.8742 0.0000
2.7581 3.8742 0.0000
0.0000 0.0000 2.7537
Mo Ir Os
1 1 2
direct
0.0000 0.0000 0.0000 Mo
0.5000 0.5000 0.0000 Ir
0.0000 0.5000 0.5000 Os
0.5000 0.0000 0.5000 Os
```

=====

Entry from Alexandria via LeMat-Bulk: an optimized crystal structure of SrNiTe2 (PBE-GGA).

Results
Space group = C2/m

Structure (POSCAR):
```
SrNiTe2
1.0
5.1686 -2.0013 0.0000
5.1686 2.0013 0.0000
-2.7935 0.0000 6.0192
Sr Ni Te
1 1 2
direct
0.0000 0.0000 0.0000 Sr
0.0000 0.0000 0.5000 Ni
0.3644 0.3644 0.2645 Te
0.6356 0.6356 0.7355 Te
```

=====

Entry from Alexandria via LeMat-Bulk: an optimized crystal structure of K3HfBe (PBE-GGA).

Results
Space group = Pm-3m
Energy of formation from the pure elements = 40.2 kcal/mol of atoms

Structure (POSCAR):
```
K3HfBe
1.0
6.8236 0.0000 0.0000
0.0000 6.8236 0.0000
0.0000 0.0000 6.8236
K Hf Be
3 1 1
direct
0.0000 0.0000 0.5000 K
0.0000 0.5000 0.0000 K
0.5000 0.0000 0.0000 K
0.0000 0.0000 0.0000 Hf
0.5000 0.5000 0.5000 Be
```

=====

Entry from Alexandria via LeMat-Bulk: an optimized crystal structure of CsBaHgTe2 (PBE-GGA).

Results
Space group = P2/c

Structure (POSCAR):
```
CsBaHgTe2
1.0
8.7579 0.0000 0.0000
0.0000 6.1223 0.0000
-1.7668 0.0000 9.4942
Cs Ba Hg Te
2 2 2 4
direct
0.0000 0.1505 0.2500 Cs
0.0000 0.8495 0.7500 Cs
0.5000 0.4730 0.7500 Ba
0.5000 0.5270 0.2500 Ba
0.5000 0.0000 0.0000 Hg
0.5000 0.0000 0.5000 Hg
0.2417 0.3274 0.9677 Te
0.2417 0.6726 0.4677 Te
0.7583 0.3274 0.5323 Te
0.7583 0.6726 0.0323 Te
```

=====

Entry from Alexandria via LeMat-Bulk: an optimized crystal structure of LiCa2Tl9 (PBE-GGA).

Results
Space group = P4/mmm
Energy of formation from the pure elements = -4.0 kcal/mol of atoms

Structure (POSCAR):
```
LiCa2Tl9
1.0
4.8399 0.0000 0.0000
0.0000 4.8399 0.0000
0.0000 0.0000 14.4569
Li Ca Tl
1 2 9
direct
0.0000 0.0000 0.0000 Li
0.0000 0.0000 0.3289 Ca
0.0000 0.0000 0.6711 Ca
0.0000 0.5000 0.1577 Tl
0.0000 0.5000 0.5000 Tl
0.0000 0.5000 0.8423 Tl
0.5000 0.0000 0.1577 Tl
0.5000 0.0000 0.5000 Tl
0.5000 0.0000 0.8423 Tl
0.5000 0.5000 0.0000 Tl
0.5000 0.5000 0.3323 Tl
0.5000 0.5000 0.6677 Tl
```

=====

Entry from Alexandria via LeMat-Bulk: an optimized crystal structure of HfSb2O (PBE-GGA).

Results
Space group = I-42d

Structure (POSCAR):
```
HfSb2O
1.0
-3.4206 3.4206 3.5275
3.4206 -3.4206 3.5275
3.4206 3.4206 -3.5275
Hf Sb O
2 4 2
direct
0.0000 0.0000 0.0000 Hf
0.7500 0.2500 0.5000 Hf
0.2106 0.6250 0.0856 Sb
0.3750 0.4606 0.5856 Sb
0.5394 0.1250 0.9144 Sb
0.8750 0.7894 0.4144 Sb
0.2500 0.7500 0.5000 O
0.5000 0.5000 0.0000 O
```

=====

Number 1: total energy -0.1556 hartree per atom. Number 2: total energy -0.2883 hartree per atom. Number 3: total energy -0.2078 hartree per atom. Number 4: total energy -0.2693 hartree per atom. Number 5: total energy -0.1074 hartree per atom. Number 6: total energy -0.0881 hartree per atom. Number 7: total energy -0.3866 hartree per atom. Number 8: total energy -0.1532 hartree per atom. Number 9: total energy -0.0606 hartree per atom. Number 10: total energy -0.1004 hartree per atom. Number 11: total energy -0.0897 hartree per atom. Number 12: total energy -0.2193 hartree per atom.